1.
MgNpGa4 | PBE | optimized geometry

Cell lengths 5.4892, 5.4892, 5.4892 Å; angles 60.00, 60.00, 60.00 degrees
With the nearest neighbours (Å) after each atom.
Element x y z (fractional)
Mg  0.0000  0.0000  0.0000  12 Ga 3.22, 4 Np 3.36
Np  0.2500  0.2500  0.2500  12 Ga 3.22, 4 Mg 3.36
Ga  0.1268  0.6244  0.6244  6 Ga 2.73-2.76
Ga  0.6244  0.1268  0.6244  6 Ga 2.73-2.76
Ga  0.6244  0.6244  0.1268  6 Ga 2.73-2.76
Ga  0.6244  0.6244  0.6244  6 Ga 2.73-2.76

Results
- ΔH_f (0 K) (eV/f.u.) = -0.151
- V (A^3/atom) = 19.49

***

2.
CdIn6Hg4 | PBE | optimized geometry

Cell lengths 6.1547, 6.1684, 8.7667 Å; angles 71.75, 71.58, 86.55 degrees
With the nearest neighbours (Å) after each atom.
Element x y z (fractional)
Cd  0.0000  0.0000  0.0000  7 In 3.08-3.26, 2 Hg 3.15-3.34
In  0.0493  0.0641  0.3898  5 Hg 3.18-3.37, 4 In 3.42-3.52
In  0.0588  0.4853  0.0144  2 Cd 3.08-3.14, 4 Hg 3.08-3.15
In  0.3765  0.9726  0.6558  4 Hg 3.06-3.24, 1 Cd 3.22
In  0.4855  0.0732  0.0144  4 Hg 3.05-3.18, 2 Cd 3.10-3.14
In  0.6647  0.6908  0.3372  5 Hg 2.95-3.25, 1 Cd 3.12
In  0.9735  0.3864  0.6548  4 Hg 3.06-3.22, 1 Cd 3.26, 1 In 3.42
Hg  0.2096  0.6198  0.2777  7 In 3.06-3.37, 1 Hg 3.28, 1 Cd 3.34
Hg  0.4582  0.4586  0.7032  7 In 2.95-3.24
Hg  0.6010  0.2338  0.2808  7 In 3.06-3.36, 1 Hg 3.28
Hg  0.7978  0.8067  0.7781  5 In 3.11-3.18, 1 Cd 3.15, 1 Hg 3.42

Results
- ΔH_f (0 K) (eV/f.u.) = 0.325
- V (A^3/atom) = 27.24

***

3.
Pr4Y3ThS8 | PBE | optimized geometry

Cell lengths 8.0884, 8.0884, 8.0884 Å; angles 59.54, 59.54, 59.54 degrees
With the nearest neighbours (Å) after each atom.
Element x y z (fractional)
Pr  0.0000  0.0000  0.0000  6 S 2.88
Pr  0.0000  0.5000  0.5000  6 S 2.92
Pr  0.5000  0.0000  0.5000  6 S 2.92
Pr  0.5000  0.5000  0.0000  6 S 2.92
Y  0.0000  0.0000  0.5000  6 S 2.78
Y  0.0000  0.5000  0.0000  6 S 2.78
Y  0.5000  0.0000  0.0000  6 S 2.78
Th  0.5000  0.5000  0.5000  6 S 2.83
S  0.2402  0.7478  0.7478  2 Y 2.78, 1 Th 2.83, 3 Pr 2.88-2.92
S  0.2440  0.2440  0.2440  3 Y 2.78, 3 Pr 2.92
S  0.2522  0.2522  0.7598  2 Y 2.78, 1 Th 2.83, 3 Pr 2.88-2.92
S  0.2522  0.7598  0.2522  2 Y 2.78, 1 Th 2.83, 3 Pr 2.88-2.92
S  0.7478  0.2402  0.7478  2 Y 2.78, 1 Th 2.83, 3 Pr 2.88-2.92
S  0.7478  0.7478  0.2402  2 Y 2.78, 1 Th 2.83, 3 Pr 2.88-2.92
S  0.7560  0.7560  0.7560  3 Y 2.78, 3 Pr 2.92
S  0.7598  0.2522  0.2522  2 Y 2.78, 1 Th 2.83, 3 Pr 2.88-2.92

Results
- formation energy (no corrections) (eV/atom) = -1.9847
- V (A^3/atom) = 23.14

***

4.
Pm2RhPb | PBE | optimized geometry

Cell lengths 3.5626, 3.5626, 8.1987 Å; angles 90.00, 90.00, 90.00 degrees
With the nearest neighbours (Å) after each atom.
Element x y z (fractional)
Pm  0.0000  0.0000  0.2079  4 Rh 3.04
Pm  0.0000  0.0000  0.7921  4 Rh 3.04
Rh  0.5000  0.5000  0.0000  8 Pm 3.04
Pb  0.5000  0.5000  0.5000  8 Pm 3.48, 4 Pb 3.56

Results
- ΔH_f (0 K) (eV/f.u.) = -2.454
- V (A^3/atom) = 26.01